A plane-wave DFT calculation with GGA-PBE was carried out for a relaxed structure of HgCSe2N.

As for the energy relative to the lowest polymorph listed for this composition: 0.0 meV/atom. The calculation puts the magnetization at 0.0 μB/f.u. Its energy relative to the elements, uncorrected is 279 kJ/mol of formula units. Its electronic total energy is -4.385 eV per atom.

The space group is P4/mmm (No. 123) and the conventional cell measures 6.6868, 6.6868 and 2.5034 Å, with angles of 90.00, 90.00 and 90.00 degrees. Symmetry generates all atoms from Hg at (0.0000, 0.0000, 0.0000), C at (0.5000, 0.5000, 0.5000), Se at (0.0000, 0.5000, 0.5000) and N at (0.5000, 0.5000, 0.0000).

A plane-wave DFT calculation with GGA-PBE was carried out for a relaxed structure of SbMo2P.

As for the energy relative to the lowest polymorph listed for this composition: 258.6 meV/atom. The calculation puts the magnetization at 0.0 μB/f.u. Its energy relative to the elements, uncorrected is 50 kJ/mol of formula units. Its electronic total energy is -7.669 eV per atom.

The space group is Fm-3m (No. 225) and the conventional cell measures 6.3599, 6.3599 and 6.3599 Å, with angles of 90.00, 90.00 and 90.00 degrees. Symmetry generates all atoms from Sb at (0.0000, 0.0000, 0.0000), Mo at (0.2500, 0.2500, 0.2500) and P at (0.0000, 0.0000, 0.5000).

> electronic total energy of number 1 (HgCSe2N)?

-4.385 eV per atom